[1]
The following is a PBE calculation of a relaxed Pm2VBi crystal, from Alexandria via LeMat-Bulk. Values from VASP.

Values from the calculation:
symmetry = No. 123
DOS at the Fermi energy = 0.755 states/eV per atom
calculated density = 8.21 g cm⁻³
relative energy among the computed polymorphs = 0.000 eV/atom
E = -5.718 eV per atom

Geometry as Quantum ESPRESSO input:
```
&SYSTEM
  ibrav = 0, nat = 4, ntyp = 3
/
ATOMIC_SPECIES
Pm 145.00 Pm.upf
V 50.94 V.upf
Bi 208.98 Bi.upf
CELL_PARAMETERS angstrom
5.1192 0.0000 0.0000
0.0000 5.1192 0.0000
0.0000 0.0000 4.2445
ATOMIC_POSITIONS crystal
Pm 0.0000 0.5000 0.0000
Pm 0.5000 0.0000 0.0000
V 0.0000 0.0000 0.5000
Bi 0.5000 0.5000 0.5000
```


[2]
The following is a PBE calculation of a relaxed PmBiW crystal, from Alexandria via LeMat-Bulk. Values from VASP.

Values from the calculation:
symmetry = No. 11
DOS at the Fermi energy = 1.052 states/eV per atom
calculated density = 10.87 g cm⁻³
E = -6.721 eV per atom

Geometry as Quantum ESPRESSO input:
```
&SYSTEM
  ibrav = 0, nat = 6, ntyp = 3
/
ATOMIC_SPECIES
Pm 145.00 Pm.upf
Bi 208.98 Bi.upf
W 183.84 W.upf
CELL_PARAMETERS angstrom
3.4862 0.0000 0.0000
0.0000 4.4543 0.0000
-0.6945 0.0000 10.5772
ATOMIC_POSITIONS crystal
Pm 0.2074 0.2500 0.3751
Pm 0.7926 0.7500 0.6249
Bi 0.0174 0.7500 0.1640
Bi 0.9826 0.2500 0.8360
W 0.4883 0.7500 0.9348
W 0.5117 0.2500 0.0652
```


[3]
The following is a PBE calculation of a relaxed Pm4YBi5 crystal, from Alexandria via LeMat-Bulk. Values from VASP.

Values from the calculation:
symmetry = No. 71
DOS at the Fermi energy = 0.207 states/eV per atom
calculated density = 8.49 g cm⁻³
E = -5.418 eV per atom

Geometry as Quantum ESPRESSO input:
```
&SYSTEM
  ibrav = 0, nat = 10, ntyp = 3
/
ATOMIC_SPECIES
Pm 145.00 Pm.upf
Y 88.91 Y.upf
Bi 208.98 Bi.upf
CELL_PARAMETERS angstrom
-2.2817 3.2244 11.3948
2.2817 -3.2244 11.3948
2.2817 3.2244 -11.3948
ATOMIC_POSITIONS crystal
Pm 0.0999 0.0999 0.0000
Pm 0.3011 0.3011 0.0000
Pm 0.6989 0.6989 0.0000
Pm 0.9001 0.9001 0.0000
Y 0.5000 0.5000 0.0000
Bi 0.0000 0.5000 0.5000
Bi 0.2004 0.7004 0.5000
Bi 0.4023 0.9023 0.5000
Bi 0.5977 0.0977 0.5000
Bi 0.7996 0.2996 0.5000
```


[4]
The following is a PBE calculation of a relaxed PmYBi crystal, from Alexandria via LeMat-Bulk. Values from VASP.

Values from the calculation:
symmetry = No. 156
DOS at the Fermi energy = 1.082 states/eV per atom
calculated density = 7.57 g cm⁻³
relative energy among the computed polymorphs = 0.354 eV/atom
E = -5.340 eV per atom

Geometry as Quantum ESPRESSO input:
```
&SYSTEM
  ibrav = 0, nat = 3, ntyp = 3
/
ATOMIC_SPECIES
Pm 145.00 Pm.upf
Y 88.91 Y.upf
Bi 208.98 Bi.upf
CELL_PARAMETERS angstrom
5.2337 0.0000 0.0000
-2.6169 4.5326 0.0000
0.0000 0.0000 4.0953
ATOMIC_POSITIONS crystal
Pm 0.0000 0.0000 0.0000
Y 0.6667 0.3333 0.5267
Bi 0.3333 0.6667 0.3450
```


[5]
The following is a PBE calculation of a relaxed Pm5Y5Bi6 crystal, from Alexandria via LeMat-Bulk. Values from VASP.

Values from the calculation:
symmetry = No. 38
DOS at the Fermi energy = 0.935 states/eV per atom
calculated density = 8.24 g cm⁻³
E = -5.708 eV per atom

Geometry as Quantum ESPRESSO input:
```
&SYSTEM
  ibrav = 0, nat = 16, ntyp = 3
/
ATOMIC_SPECIES
Pm 145.00 Pm.upf
Y 88.91 Y.upf
Bi 208.98 Bi.upf
CELL_PARAMETERS angstrom
6.4596 0.0000 0.0000
0.0000 8.1188 4.6561
0.0000 -8.1188 4.6561
ATOMIC_POSITIONS crystal
Pm 0.0000 0.0000 0.0000
Pm 0.2499 0.5777 0.9092
Pm 0.2499 0.9092 0.5777
Pm 0.7501 0.5777 0.9092
Pm 0.7501 0.9092 0.5777
Y 0.0000 0.2422 0.4884
Y 0.0000 0.4884 0.2422
Y 0.5000 0.2437 0.9969
Y 0.5000 0.4842 0.4842
Y 0.5000 0.9969 0.2437
Bi 0.0000 0.2457 0.8571
Bi 0.0000 0.6248 0.6248
Bi 0.0000 0.8571 0.2457
Bi 0.5000 0.2430 0.6276
Bi 0.5000 0.6276 0.2430
Bi 0.5000 0.8589 0.8589
```


[6]
The following is a PBE calculation of a relaxed Pm4YBi2 crystal, from Alexandria via LeMat-Bulk. Values from VASP.

Values from the calculation:
symmetry = No. 139
DOS at the Fermi energy = 1.091 states/eV per atom
calculated density = 7.10 g cm⁻³
E = -4.548 eV per atom

Geometry as Quantum ESPRESSO input:
```
&SYSTEM
  ibrav = 0, nat = 7, ntyp = 3
/
ATOMIC_SPECIES
Pm 145.00 Pm.upf
Y 88.91 Y.upf
Bi 208.98 Bi.upf
CELL_PARAMETERS angstrom
-2.7144 2.7144 8.6238
2.7144 -2.7144 8.6238
2.7144 2.7144 -8.6238
ATOMIC_POSITIONS crystal
Pm 0.0000 0.5000 0.5000
Pm 0.1824 0.1824 0.0000
Pm 0.5000 0.0000 0.5000
Pm 0.8176 0.8176 0.0000
Y 0.0000 0.0000 0.0000
Bi 0.3656 0.3656 0.0000
Bi 0.6344 0.6344 0.0000
```